The following is a PBE-GGA calculation of P2PtW after structural relaxation, from the Alexandria database.

## Properties
The calculation puts the volume at 15.2 A^3/atom. As for the formation energy: 507.3 meV/atom. As for the raw total energy: -6.946 eV/atom. As for the crystal system: cubic.

a b c (Å): 4.411 4.411 4.411
angles (deg): 60.00 60.00 60.00
Fractional coordinates of all 4 atoms:
1 P 0.000 0.000 0.000
2 P 0.250 0.250 0.250
3 Pt 0.750 0.750 0.750
4 W 0.500 0.500 0.500



The following is a PBE-GGA calculation of PPtW2 after structural relaxation, from the Alexandria database.

## Properties
The calculation puts the volume at 15.5 A^3/atom. As for the formation energy: 171.2 meV/atom. As for the raw total energy: -9.168 eV/atom. As for the crystal system: orthorhombic.

a b c (Å): 2.805 2.805 8.101
angles (deg): 90.00 90.00 103.77
Fractional coordinates of all 4 atoms:
1 P 0.000 0.000 0.000
2 Pt 0.500 0.500 0.250
3 W 0.000 0.000 0.508
4 W 0.500 0.500 0.775



The following is a PBE-GGA calculation of PPtW2 after structural relaxation, from the Alexandria database.

## Properties
The calculation puts the volume at 15.1 A^3/atom. As for the formation energy: -19.3 meV/atom. As for the raw total energy: -9.359 eV/atom. As for the crystal system: orthorhombic.

a b c (Å): 3.988 5.388 5.388
angles (deg): 31.51 90.00 90.00
Fractional coordinates of all 4 atoms:
1 P 0.000 0.000 0.000
2 Pt 0.500 0.130 0.130
3 W 0.000 0.768 0.768
4 W 0.500 0.398 0.398



The following is a PBE-GGA calculation of P2PtW after structural relaxation, from the Alexandria database.

## Properties
The calculation puts the volume at 14.8 A^3/atom. As for the formation energy: -49.4 meV/atom. As for the raw total energy: -7.503 eV/atom. As for the crystal system: trigonal.

a b c (Å): 7.823 7.823 7.823
angles (deg): 22.09 22.09 22.09
Fractional coordinates of all 4 atoms:
1 P 0.245 0.245 0.245
2 P 0.755 0.755 0.755
3 Pt 0.000 0.000 0.000
4 W 0.500 0.500 0.500



The following is a PBE-GGA calculation of P2PtW after structural relaxation, from the Alexandria database.

## Properties
The calculation puts the volume at 19.6 A^3/atom. As for the formation energy: -8.1 meV/atom. As for the raw total energy: -7.462 eV/atom. As for the crystal system: tetragonal.

a b c (Å): 6.552 6.552 6.552
angles (deg): 130.99 130.99 71.83
Fractional coordinates of all 8 atoms:
1 P 0.124 0.625 0.999
2 P 0.375 0.374 0.499
3 P 0.626 0.125 0.001
4 P 0.875 0.876 0.501
5 Pt 0.000 0.000 0.000
6 Pt 0.750 0.250 0.500
7 W 0.250 0.750 0.500
8 W 0.500 0.500 0.000



The following is a PBE-GGA calculation of PPtW after structural relaxation, from the Alexandria database.

## Properties
The calculation puts the volume at 15.8 A^3/atom. As for the formation energy: -63.9 meV/atom. As for the raw total energy: -8.198 eV/atom. As for the crystal system: cubic.

a b c (Å): 4.060 4.060 4.060
angles (deg): 60.00 60.00 60.00
Fractional coordinates of all 3 atoms:
1 P 0.000 0.000 0.000
2 Pt 0.250 0.250 0.250
3 W 0.750 0.750 0.750



The following is a PBE-GGA calculation of P2PtW after structural relaxation, from the Alexandria database.

## Properties
The calculation puts the volume at 14.7 A^3/atom. As for the formation energy: -176.2 meV/atom. As for the raw total energy: -7.630 eV/atom. As for the crystal system: tetragonal.

a b c (Å): 3.379 3.379 5.152
angles (deg): 90.00 90.00 90.00
Fractional coordinates of all 4 atoms:
1 P 0.000 0.000 0.000
2 P 0.500 0.500 0.352
3 Pt 0.000 0.000 0.471
4 W 0.500 0.500 0.840



The following is a PBE-GGA calculation of PPtW4 after structural relaxation, from the Alexandria database.

## Properties
The calculation puts the volume at 17.1 A^3/atom. As for the formation energy: 807.5 meV/atom. As for the raw total energy: -9.736 eV/atom. As for the crystal system: cubic.

a b c (Å): 5.250 5.250 5.250
angles (deg): 60.00 60.00 60.00
Fractional coordinates of all 6 atoms:
1 P 0.000 0.000 0.000
2 Pt 0.750 0.750 0.750
3 W 0.375 0.375 0.375
4 W 0.375 0.375 0.874
5 W 0.375 0.874 0.375
6 W 0.874 0.375 0.375